A geometry-optimized Mn2CoHRu structure, computed with PBE.

## Properties
Crystal system = tetragonal

Unit cell a=3.660 b=3.660 c=3.614 alpha=90.00 beta=90.00 gamma=90.00
Space group P4/mmm (No. 123)
One atom of each set of equivalent atoms:
Mn: 0.000 0.500 0.000
Co: 0.000 0.000 0.500
H: 0.000 0.000 0.000
Ru: 0.500 0.500 0.500



A geometry-optimized MnCoHRu2 structure, computed with PBE.

## Properties
Crystal system = tetragonal

Unit cell a=3.831 b=3.831 c=3.637 alpha=90.00 beta=90.00 gamma=90.00
Space group P4/mmm (No. 123)
One atom of each set of equivalent atoms:
Mn: 0.000 0.000 0.000
Co: 0.500 0.500 0.000
H: 0.500 0.500 0.500
Ru: 0.000 0.500 0.500



Which uncorrected energy belongs to each record? In order, -7.567; -7.568 eV per atom.
Which energy relative to the lowest polymorph listed for this composition belongs to each record? In order, 0; 0 meV/atom.